## Pm6Pr2NdSm3 (PBE-GGA)

Data for a relaxed Pm6Pr2NdSm3 crystal.

abc: 6.3417 6.3417 12.1324
angles: 95.03 95.03 120.00
Fractional positions:
Pr1 0.6667 0.3333 0.0000
Pm1 0.7510 0.7510 0.2520
Pr2 0.3333 0.6667 0.0000
Pm2 0.9159 0.5828 0.7480
Nd1 0.0000 0.0000 0.0000
Sm1 0.1666 0.8334 0.5000
Pm3 0.0841 0.4172 0.2520
Pm4 0.2490 0.2490 0.7480
Sm2 0.5000 0.5000 0.5000
Pm5 0.4172 0.0841 0.2520
Pm6 0.5828 0.9159 0.7480
Sm3 0.8334 0.1666 0.5000

Properties
energy relative to the elements	0.013	eV/atom

=====

## Pm6PrNd2Sm3 (PBE-GGA)

Data for a relaxed Pm6PrNd2Sm3 crystal.

abc: 6.3365 6.3365 12.1243
angles: 95.02 95.02 120.00
Fractional positions:
Pm1 0.2496 0.2496 0.7481
Sm1 0.1668 0.8332 0.5000
Pm2 0.5825 0.9161 0.7483
Sm2 0.8332 0.1668 0.5000
Nd1 0.3335 0.6665 0.0000
Pr1 0.0000 0.0000 0.0000
Pm3 0.0839 0.4175 0.2517
Sm3 0.5000 0.5000 0.5000
Nd2 0.6665 0.3335 0.0000
Pm4 0.9161 0.5825 0.7483
Pm5 0.7504 0.7504 0.2519
Pm6 0.4175 0.0839 0.2517

Properties
energy relative to the elements	0.013	eV/atom

=====

## SrPmPrNd (PBE-GGA)

Data for a relaxed SrPmPrNd crystal.

abc: 6.0203 6.0203 6.0203
angles: 60.00 60.00 60.00
Site moments in Bohr magnetons follow the coordinates.
Fractional positions:
Sr1 0.2500 0.2500 0.2500  0.02
Pm1 0.7500 0.7500 0.7500  0.19
Nd1 0.5000 0.5000 0.5000  0.14
Pr1 0.0000 0.0000 0.0000  0.14

Properties
energy relative to the elements	0.210	eV/atom

=====

## Tb3PmPr6Nd2 (PBE-GGA)

Data for a relaxed Tb3PmPr6Nd2 crystal.

abc: 6.3665 6.3665 12.0876
angles: 95.04 95.04 120.02
Fractional positions:
Nd1 0.3334 0.6666 0.0000
Tb1 0.5000 0.5000 0.5000
Tb2 0.1667 0.8333 0.5000
Pr1 0.2489 0.2489 0.7467
Nd2 0.6666 0.3334 0.0000
Pr2 0.7511 0.7511 0.2533
Pr3 0.9158 0.5826 0.7469
Pr4 0.4174 0.0842 0.2531
Pr5 0.5826 0.9158 0.7469
Pm1 0.0000 0.0000 0.0000
Pr6 0.0842 0.4174 0.2531
Tb3 0.8333 0.1667 0.5000

Properties
energy relative to the elements	0.012	eV/atom

=====

## Tb2PmPrNd6 (PBE-GGA)

Data for a relaxed Tb2PmPrNd6 crystal.

abc: 9.8452 8.9938 8.9938
angles: 117.60 94.17 94.17
Fractional positions:
Nd1 0.9443 0.8878 0.2445
Nd2 0.3798 0.5094 0.2954
Tb1 0.5460 0.1959 0.2929
Tb2 0.4540 0.8041 0.7071
Tb3 0.9540 0.7071 0.8041
Tb4 0.0460 0.2929 0.1959
Pm1 0.7500 0.0279 0.9721
Nd3 0.4443 0.2445 0.8878
Nd4 0.6829 0.0181 0.5672
Nd5 0.5557 0.7555 0.1122
Nd6 0.8798 0.2954 0.5094
Nd7 0.1829 0.5672 0.0181
Pm2 0.2500 0.9721 0.0279
Nd8 0.1202 0.7046 0.4906
Nd9 0.6202 0.4906 0.7046
Nd10 0.0557 0.1122 0.7555
Pr1 0.2500 0.4062 0.5938
Pr2 0.7500 0.5938 0.4062
Nd11 0.3171 0.9819 0.4328
Nd12 0.8171 0.4328 0.9819

Properties
energy relative to the elements	0.113	eV/atom

=====

## TbPm2Pr2Nd (PBE-GGA)

Data for a relaxed TbPm2Pr2Nd crystal.

abc: 3.4557 6.7964 18.1148
angles: 90.00 90.00 90.00
Fractional positions:
Pr1 0.0000 0.7643 0.1817
Pm1 0.0000 0.7311 0.8518
Pr2 0.5000 0.7357 0.6817
Nd1 0.0000 0.0000 0.5000
Nd2 0.5000 0.5000 0.0000
Tb1 0.0000 0.0000 0.0000
Pm2 0.5000 0.7689 0.3518
Pr3 0.0000 0.2357 0.8183
Tb2 0.5000 0.5000 0.5000
Pm3 0.5000 0.2311 0.6482
Pr4 0.5000 0.2643 0.3183
Pm4 0.0000 0.2689 0.1482

Properties
energy relative to the elements	0.241	eV/atom

=====

## Tb2PmPrNd (PBE-GGA)

Data for a relaxed Tb2PmPrNd crystal.

abc: 7.1954 8.5081 7.2544
angles: 125.90 90.00 90.00
Fractional positions:
Tb1 0.0000 0.6869 0.0000
Pm1 0.7500 0.2734 0.5468
Tb2 0.0000 0.3131 0.0000
Tb3 0.5000 0.3131 0.0000
Pr1 0.2500 0.2697 0.5394
Nd1 0.2500 0.9987 0.9974
Nd2 0.7500 0.0013 0.0026
Pr2 0.7500 0.7303 0.4606
Pm2 0.2500 0.7266 0.4532
Tb4 0.5000 0.6869 0.0000

Properties
energy relative to the elements	0.356	eV/atom

=====

## Tb4PmPrNd2 (PBE-GGA)

Data for a relaxed Tb4PmPrNd2 crystal.

abc: 12.4874 7.2546 12.4912
angles: 106.90 146.23 89.99
Fractional positions:
Pm1 0.5000 0.5000 0.5000
Tb1 0.2503 0.7506 0.0007
Nd1 0.5000 0.5000 0.0000
Pm2 0.0000 0.0000 0.0000
Pr1 0.0000 0.5000 0.0000
Nd2 0.5000 0.0000 0.5000
Tb2 0.2502 0.7499 0.4998
Tb3 0.2503 0.2502 0.0007
Tb4 0.7497 0.2494 0.9993
Tb5 0.2498 0.2496 0.4994
Tb6 0.7497 0.7498 0.9993
Pr2 0.0000 0.5000 0.5000
Tb7 0.7498 0.2501 0.5002
Nd3 0.5000 0.0000 0.0000
Tb8 0.7502 0.7504 0.5006
Nd4 0.0000 0.0000 0.5000

Properties
energy relative to the elements	0.013	eV/atom

=====

## Tb2PmPr6Nd (PBE-GGA)

Data for a relaxed Tb2PmPr6Nd crystal.

abc: 9.8883 9.0307 9.0307
angles: 117.51 94.27 94.27
Fractional positions:
Pr1 0.0553 0.1113 0.7563
Tb1 0.4536 0.8038 0.7081
Pr2 0.6198 0.4907 0.7036
Pr3 0.1846 0.5666 0.0146
Pr4 0.8802 0.2964 0.5093
Pr5 0.6846 0.0146 0.5666
Pr6 0.1198 0.7036 0.4907
Pr7 0.8154 0.4334 0.9854
Tb2 0.0464 0.2919 0.1962
Pm1 0.2500 0.9725 0.0275
Pr8 0.9447 0.8887 0.2437
Nd1 0.2500 0.4070 0.5930
Pr9 0.3154 0.9854 0.4334
Pr10 0.5553 0.7563 0.1113
Pm2 0.7500 0.0275 0.9725
Tb3 0.5464 0.1962 0.2919
Pr11 0.4447 0.2437 0.8887
Nd2 0.7500 0.5930 0.4070
Pr12 0.3802 0.5093 0.2964
Tb4 0.9536 0.7081 0.8038

Properties
energy relative to the elements	0.111	eV/atom

=====

## TbPm3Pr6Nd2 (PBE-GGA)

Data for a relaxed TbPm3Pr6Nd2 crystal.

abc: 6.3856 6.3856 12.1756
angles: 95.04 95.04 120.02
Fractional positions:
Pr1 0.2494 0.2494 0.7500
Nd1 0.6668 0.3332 0.0000
Pm1 0.5000 0.5000 0.5000
Pr2 0.7506 0.7506 0.2500
Pr3 0.0833 0.4157 0.2498
Pr4 0.4157 0.0833 0.2498
Nd2 0.3332 0.6668 0.0000
Pm2 0.8335 0.1665 0.5000
Pm3 0.1665 0.8335 0.5000
Tb1 0.0000 0.0000 0.0000
Pr5 0.9167 0.5843 0.7502
Pr6 0.5843 0.9167 0.7502

Properties
energy relative to the elements	0.012	eV/atom

=====

## Tb3Pm6Pr2Nd (PBE-GGA)

Data for a relaxed Tb3Pm6Pr2Nd crystal.

abc: 6.3122 6.3122 12.0685
angles: 95.01 95.01 120.00
Fractional positions:
Nd1 0.0000 0.0000 0.0000
Pm1 0.0848 0.4179 0.2540
Tb1 0.8334 0.1666 0.5000
Tb2 0.5000 0.5000 0.5000
Pm2 0.4179 0.0848 0.2540
Pm3 0.2484 0.2484 0.7459
Pm4 0.5821 0.9152 0.7460
Pm5 0.7516 0.7516 0.2541
Pr1 0.6666 0.3334 0.0000
Tb3 0.1666 0.8334 0.5000
Pr2 0.3334 0.6666 0.0000
Pm6 0.9152 0.5821 0.7460

Properties
energy relative to the elements	0.015	eV/atom

=====

## TbPmPrNd2 (PBE-GGA)

Data for a relaxed TbPmPrNd2 crystal.

abc: 6.7410 8.3685 6.3177
angles: 91.83 90.00 90.00
Fractional positions:
Pr1 0.0000 0.0000 0.5000
Tb1 0.1605 0.5000 0.7500
Nd1 0.3074 0.6925 0.2615
Pr2 0.0000 0.0000 0.0000
Nd2 0.6926 0.3075 0.7385
Tb2 0.8395 0.5000 0.2500
Nd3 0.6926 0.6925 0.7615
Nd4 0.3074 0.3075 0.2385
Pm1 0.5725 0.0000 0.2500
Pm2 0.4275 0.0000 0.7500

Properties
energy relative to the elements	0.258	eV/atom

=====

## Tb6Pm3PrNd2 (PBE-GGA)

Data for a relaxed Tb6Pm3PrNd2 crystal.

abc: 6.2757 6.2757 11.9173
angles: 95.03 95.03 120.00
Fractional positions:
Pm1 0.5000 0.5000 0.5000
Nd1 0.3334 0.6666 0.0000
Tb1 0.4173 0.0838 0.2510
Pm2 0.1667 0.8333 0.5000
Tb2 0.7502 0.7502 0.2510
Tb3 0.2498 0.2498 0.7490
Tb4 0.0838 0.4173 0.2510
Pm3 0.8333 0.1667 0.5000
Tb5 0.5827 0.9162 0.7490
Pr1 0.0000 0.0000 0.0000
Nd2 0.6666 0.3334 0.0000
Tb6 0.9162 0.5827 0.7490

Properties
energy relative to the elements	0.011	eV/atom

=====

## TbPm6Pr2Nd3 (PBE-GGA)

Data for a relaxed TbPm6Pr2Nd3 crystal.

abc: 6.3443 6.3443 12.1485
angles: 95.02 95.02 119.99
Fractional positions:
Pm1 0.4152 0.0830 0.2496
Pm2 0.0830 0.4152 0.2496
Tb1 0.0000 0.0000 0.0000
Nd1 0.1665 0.8335 0.5000
Nd2 0.5000 0.5000 0.5000
Pm3 0.7507 0.7507 0.2497
Pm4 0.2493 0.2493 0.7503
Pm5 0.9170 0.5848 0.7504
Pr1 0.3333 0.6667 0.0000
Nd3 0.8335 0.1665 0.5000
Pr2 0.6667 0.3333 0.0000
Pm6 0.5848 0.9170 0.7504

Properties
energy relative to the elements	0.013	eV/atom

=====

## Tb3Pm2PrNd6 (PBE-GGA)

Data for a relaxed Tb3Pm2PrNd6 crystal.

abc: 6.3310 6.3310 12.0658
angles: 95.02 95.02 120.01
Fractional positions:
Nd1 0.5815 0.9153 0.7468
Nd2 0.9153 0.5815 0.7468
Pr1 0.0000 0.0000 0.0000
Pm1 0.6666 0.3334 0.0000
Nd3 0.2490 0.2490 0.7467
Tb1 0.8332 0.1668 0.5000
Tb2 0.1668 0.8332 0.5000
Nd4 0.7510 0.7510 0.2533
Nd5 0.0847 0.4185 0.2532
Pm2 0.3334 0.6666 0.0000
Tb3 0.5000 0.5000 0.5000
Nd6 0.4185 0.0847 0.2532

Properties
energy relative to the elements	0.013	eV/atom

=====

## TbPmPr3Nd (PBE-GGA)

Data for a relaxed TbPmPr3Nd crystal.

abc: 6.1165 6.3945 12.1871
angles: 90.00 90.00 118.57
Fractional positions:
Tb1 0.8322 0.6645 0.7500
Pr1 0.3332 0.6663 0.9885
Pm1 0.5143 0.0286 0.7500
Pr2 0.8480 0.6960 0.2500
Nd1 0.0000 0.0000 0.5000
Tb2 0.1678 0.3355 0.2500
Pr3 0.6668 0.3337 0.4885
Pr4 0.3332 0.6663 0.5115
Pr5 0.1520 0.3040 0.7500
Pr6 0.6668 0.3337 0.0115
Pm2 0.4857 0.9714 0.2500
Nd2 0.0000 0.0000 0.0000

Properties
energy relative to the elements	0.110	eV/atom

=====

## Tb2Pm6PrNd (PBE-GGA)

Data for a relaxed Tb2Pm6PrNd crystal.

abc: 9.2314 9.0963 9.0963
angles: 115.87 88.66 88.66
Fractional positions:
Pr1 0.7500 0.0741 0.9259
Tb1 0.4354 0.7998 0.7000
Tb2 0.0646 0.3000 0.2002
Pm1 0.5960 0.7837 0.0645
Pm2 0.0960 0.0645 0.7837
Pm3 0.6790 0.9709 0.5245
Nd1 0.7500 0.5607 0.4393
Pm4 0.4040 0.2163 0.9355
Pm5 0.0729 0.7270 0.4239
Pm6 0.4271 0.5761 0.2730
Tb3 0.5646 0.2002 0.3000
Pm7 0.8210 0.4755 0.0291
Pm8 0.3210 0.0291 0.4755
Tb4 0.9354 0.7000 0.7998
Pm9 0.1790 0.5245 0.9709
Pm10 0.9271 0.2730 0.5761
Pm11 0.5729 0.4239 0.7270
Pr2 0.2500 0.9259 0.0741
Nd2 0.2500 0.4393 0.5607
Pm12 0.9040 0.9355 0.2163

Properties
energy relative to the elements	0.119	eV/atom

=====

## TbPm2Pr2Nd4 (PBE-GGA)

Data for a relaxed TbPm2Pr2Nd4 crystal.

abc: 3.7014 9.7661 9.8481
angles: 115.07 90.00 100.92
Fractional positions:
Pr1 0.3346 0.6692 0.0009
Nd1 0.4818 0.9636 0.6692
Tb1 0.0000 0.0000 0.0000
Pm1 0.1476 0.2953 0.6667
Pr2 0.6654 0.3308 0.9991
Nd2 0.1852 0.3704 0.3325
Nd3 0.8148 0.6296 0.6675
Pm2 0.8524 0.7047 0.3333
Nd4 0.5182 0.0364 0.3308

Properties
energy relative to the elements	0.011	eV/atom

=====

## TbPmPr6Nd2 (PBE-GGA)

Data for a relaxed TbPmPr6Nd2 crystal.

abc: 10.0524 9.0291 9.0291
angles: 118.03 94.85 94.85
Fractional positions:
Pr1 0.6881 0.0182 0.5746
Pr2 0.5551 0.7497 0.1173
Pr3 0.1881 0.5746 0.0182
Pr4 0.3119 0.9818 0.4254
Pr5 0.9449 0.8827 0.2503
Pr6 0.8794 0.2957 0.4996
Pr7 0.3794 0.4996 0.2957
Pr8 0.4449 0.2503 0.8827
Tb1 0.2500 0.9807 0.0193
Nd1 0.4574 0.8100 0.7116
Pr9 0.6206 0.5004 0.7043
Nd2 0.9574 0.7116 0.8100
Pr10 0.8119 0.4254 0.9818
Pm1 0.7500 0.5942 0.4058
Nd3 0.0426 0.2884 0.1900
Pr11 0.0551 0.1173 0.7497
Tb2 0.7500 0.0193 0.9807
Pr12 0.1206 0.7043 0.5004
Nd4 0.5426 0.1900 0.2884
Pm2 0.2500 0.4058 0.5942

Properties
energy relative to the elements	0.111	eV/atom

=====

## TbPmPr2Nd4 (PBE-GGA)

Data for a relaxed TbPmPr2Nd4 crystal.

abc: 5.1935 5.1871 11.6200
angles: 63.35 90.00 90.00
Fractional positions:
Pm1 0.5000 0.5000 0.0000
Pr1 0.5000 0.0000 0.5000
Tb1 0.0000 0.5000 0.5000
Nd1 0.0000 0.7520 0.7483
Nd2 0.5000 0.2511 0.7489
Nd3 0.5000 0.7489 0.2511
Pr2 0.0000 0.0000 0.0000
Nd4 0.0000 0.2480 0.2517

Properties
energy relative to the elements	0.012	eV/atom